Record 1
Na3Cd5Hg2 | GGA-PBE | optimized geometry Values from VASP.

Structure (Quantum ESPRESSO input):
```
&SYSTEM
  ibrav = 0, nat = 20, ntyp = 3
/
ATOMIC_SPECIES
Na 22.99 Na.upf
Cd 112.41 Cd.upf
Hg 200.59 Hg.upf
ATOMIC_POSITIONS crystal
Na 0.250 0.000 0.000
Na 0.750 0.000 0.000
Na 0.626 0.372 0.253
Na 0.374 0.628 0.747
Na 0.126 0.881 0.253
Na 0.874 0.119 0.747
Cd 0.250 0.500 0.000
Cd 0.750 0.500 0.000
Cd 0.995 0.745 0.489
Cd 0.505 0.255 0.511
Cd 0.005 0.255 0.511
Cd 0.495 0.745 0.489
Cd 0.880 0.474 0.760
Cd 0.120 0.526 0.240
Cd 0.380 0.285 0.760
Cd 0.620 0.715 0.240
Hg 0.865 0.772 0.731
Hg 0.135 0.228 0.269
Hg 0.365 0.959 0.731
Hg 0.635 0.041 0.269
CELL_PARAMETERS angstrom
-4.328 4.152 -7.755
-8.003 -3.757 2.455
4.876 4.749 6.018
```

Summary:
SG: Ibam
Electronic total energy, eV per atom: -1.00



Record 2
Cs2AuBr3 | GGA-PBE | optimized geometry Values from VASP.

Structure (Quantum ESPRESSO input):
```
&SYSTEM
  ibrav = 0, nat = 12, ntyp = 3
/
ATOMIC_SPECIES
Cs 132.91 Cs.upf
Au 196.97 Au.upf
Br 79.90 Br.upf
ATOMIC_POSITIONS crystal
Cs 0.250 0.750 0.500
Cs 0.737 0.737 0.000
Cs 0.750 0.250 0.500
Cs 0.263 0.263 0.000
Au 0.706 0.706 0.413
Au 0.294 0.294 0.587
Br 0.451 0.774 0.225
Br 0.226 0.549 0.775
Br 0.549 0.226 0.775
Br 0.774 0.451 0.225
Br 0.154 0.154 0.309
Br 0.846 0.846 0.691
CELL_PARAMETERS angstrom
7.903 -0.907 0.000
-1.213 7.862 0.000
-3.345 -3.477 9.029
```

Summary:
SG: Fmmm
Energy relative to the elements, uncorrected, eV/f.u.: -7.08



no.,density (g/cm³)
1,6.22
2,4.23